# 1
DFT (PBE) results for a relaxed CdWI2N crystal.

Computed properties:
The value obtained for the uncorrected formation energy is 0.32 eV per atom. The density of states at the Fermi level is 2.63 states/eV per cell. The value obtained for the energy above the most stable polymorph in this dataset is 0.000 eV/atom. As for the crystal system: tetragonal.

a = 5.7190 Å, b = 5.7190 Å, c = 3.8681 Å
α = 90.00°, β = 90.00°, γ = 90.00°
Sites, in units of the cell vectors:
Cd 0.5000 0.5000 0.5000
N 0.0000 0.0000 0.5000
I 0.5000 0.0000 0.0000
W 0.0000 0.0000 0.0000
I 0.0000 0.5000 0.0000


# 2
DFT (PBE) results for a relaxed CdWI2N crystal.

Computed properties:
The value obtained for the uncorrected formation energy is 1.80 eV per atom. The density of states at the Fermi level is 3.73 states/eV per cell. The value obtained for the energy above the most stable polymorph in this dataset is 1.477 eV/atom. As for the crystal system: tetragonal.

a = 6.0054 Å, b = 6.0054 Å, c = 4.1461 Å
α = 90.00°, β = 90.00°, γ = 90.00°
Sites, in units of the cell vectors:
Cd 0.0000 0.0000 0.0000
W 0.5000 0.5000 0.5000
N 0.0000 0.0000 0.5000
I 0.5000 0.0000 0.0000
I 0.0000 0.5000 0.0000


# 3
DFT (PBE) results for a relaxed CdWIN2 crystal.

Computed properties:
The value obtained for the uncorrected formation energy is 2.55 eV per atom. The density of states at the Fermi level is 3.72 states/eV per cell. The value obtained for the energy above the most stable polymorph in this dataset is 1.989 eV/atom. As for the crystal system: tetragonal.

a = 4.2355 Å, b = 4.2355 Å, c = 7.1259 Å
α = 90.00°, β = 90.00°, γ = 90.00°
Sites, in units of the cell vectors:
N 0.5000 0.0000 0.0000
N 0.0000 0.5000 0.0000
W 0.5000 0.5000 0.5000
I 0.0000 0.0000 0.5000
Cd 0.0000 0.0000 0.0000


# 4
DFT (PBE) results for a relaxed CdWIN2 crystal.

Computed properties:
The value obtained for the uncorrected formation energy is 0.57 eV per atom. The density of states at the Fermi level is 1.52 states/eV per cell. The value obtained for the energy above the most stable polymorph in this dataset is 0.000 eV/atom. As for the crystal system: tetragonal.

a = 4.0325 Å, b = 4.0325 Å, c = 5.8245 Å
α = 90.00°, β = 90.00°, γ = 90.00°
Sites, in units of the cell vectors:
I 0.0000 0.0000 0.5000
Cd 0.5000 0.5000 0.5000
N 0.0000 0.5000 0.0000
N 0.5000 0.0000 0.0000
W 0.0000 0.0000 0.0000


# 5
DFT (PBE) results for a relaxed ZnCdIN2 crystal.

Computed properties:
The value obtained for the uncorrected formation energy is 1.36 eV per atom. The density of states at the Fermi level is 2.09 states/eV per cell. The value obtained for the energy above the most stable polymorph in this dataset is 0.000 eV/atom. As for the crystal system: tetragonal.

a = 4.1694 Å, b = 4.1694 Å, c = 6.1860 Å
α = 90.00°, β = 90.00°, γ = 90.00°
Sites, in units of the cell vectors:
N 0.0000 0.5000 0.0000
I 0.0000 0.0000 0.5000
N 0.5000 0.0000 0.0000
Cd 0.5000 0.5000 0.5000
Zn 0.0000 0.0000 0.0000


# 6
DFT (PBE) results for a relaxed ZnCdIN2 crystal.

Computed properties:
The value obtained for the uncorrected formation energy is 1.56 eV per atom. The density of states at the Fermi level is 2.90 states/eV per cell. The value obtained for the energy above the most stable polymorph in this dataset is 0.201 eV/atom. As for the crystal system: tetragonal.

a = 4.3242 Å, b = 4.3242 Å, c = 7.0554 Å
α = 90.00°, β = 90.00°, γ = 90.00°
Sites, in units of the cell vectors:
N 0.5000 0.0000 0.0000
Cd 0.0000 0.0000 0.0000
Zn 0.5000 0.5000 0.5000
I 0.0000 0.0000 0.5000
N 0.0000 0.5000 0.0000


# 7
DFT (PBE) results for a relaxed ZrCdIN2 crystal.

Computed properties:
The value obtained for the uncorrected formation energy is 0.32 eV per atom. The density of states at the Fermi level is 2.53 states/eV per cell. The value obtained for the energy above the most stable polymorph in this dataset is 0.000 eV/atom. As for the crystal system: tetragonal.

a = 4.2411 Å, b = 4.2411 Å, c = 6.1563 Å
α = 90.00°, β = 90.00°, γ = 90.00°
Sites, in units of the cell vectors:
Zr 0.0000 0.0000 0.0000
Cd 0.5000 0.5000 0.5000
N 0.5000 0.0000 0.0000
I 0.0000 0.0000 0.5000
N 0.0000 0.5000 0.0000


# 8
DFT (PBE) results for a relaxed ZrCdIN2 crystal.

Computed properties:
The value obtained for the uncorrected formation energy is 1.64 eV per atom. The density of states at the Fermi level is 4.48 states/eV per cell. The value obtained for the energy above the most stable polymorph in this dataset is 1.316 eV/atom. As for the crystal system: tetragonal.

a = 4.2624 Å, b = 4.2624 Å, c = 5.5233 Å
α = 90.00°, β = 90.00°, γ = 90.00°
Sites, in units of the cell vectors:
N 0.5000 0.0000 0.0000
Cd 0.0000 0.0000 0.0000
I 0.0000 0.0000 0.5000
N 0.0000 0.5000 0.0000
Zr 0.5000 0.5000 0.5000


# 9
DFT (PBE) results for a relaxed ZrCdI2N crystal.

Computed properties:
The value obtained for the uncorrected formation energy is 0.99 eV per atom. The density of states at the Fermi level is 6.30 states/eV per cell. The value obtained for the energy above the most stable polymorph in this dataset is 1.193 eV/atom. As for the crystal system: tetragonal.

a = 5.8473 Å, b = 5.8473 Å, c = 3.9788 Å
α = 90.00°, β = 90.00°, γ = 90.00°
Sites, in units of the cell vectors:
Cd 0.0000 0.0000 0.0000
I 0.0000 0.5000 0.0000
N 0.0000 0.0000 0.5000
I 0.5000 0.0000 0.0000
Zr 0.5000 0.5000 0.5000


# 10
DFT (PBE) results for a relaxed ZrCdI2N crystal.

Computed properties:
The value obtained for the uncorrected formation energy is -0.21 eV per atom. The density of states at the Fermi level is 4.42 states/eV per cell. The value obtained for the energy above the most stable polymorph in this dataset is 0.000 eV/atom. As for the crystal system: tetragonal.

a = 6.0369 Å, b = 6.0369 Å, c = 4.0426 Å
α = 90.00°, β = 90.00°, γ = 90.00°
Sites, in units of the cell vectors:
Cd 0.5000 0.5000 0.5000
I 0.5000 0.0000 0.0000
Zr 0.0000 0.0000 0.0000
N 0.0000 0.0000 0.5000
I 0.0000 0.5000 0.0000


# 11
DFT (PBE) results for a relaxed Na2CdI4 crystal.

Computed properties:
The value obtained for the uncorrected formation energy is -0.92 eV per atom. The density of states at the Fermi level is 0.00 states/eV per cell. The value obtained for the energy above the most stable polymorph in this dataset is 0.037 eV/atom. As for the crystal system: monoclinic.

a = 4.5793 Å, b = 7.9819 Å, c = 8.5131 Å
α = 118.79°, β = 105.60°, γ = 90.00°
Sites, in units of the cell vectors:
Cd 0.0000 0.0000 0.0000
I 0.6302 0.2770 0.2604
I 0.1098 0.8061 0.2196
Na 0.7248 0.7457 0.4495
I 0.8902 0.1939 0.7804
I 0.3698 0.7230 0.7396
Na 0.2752 0.2543 0.5505


# 12
DFT (PBE) results for a relaxed NaCd3I crystal.

Computed properties:
The value obtained for the uncorrected formation energy is 0.14 eV per atom. The density of states at the Fermi level is 2.44 states/eV per cell. The value obtained for the energy above the most stable polymorph in this dataset is 0.000 eV/atom. As for the crystal system: cubic.

a = 5.8564 Å, b = 5.8564 Å, c = 5.8564 Å
α = 90.00°, β = 90.00°, γ = 90.00°
Sites, in units of the cell vectors:
Cd 0.5000 0.0000 0.0000
I 0.5000 0.5000 0.5000
Cd 0.0000 0.0000 0.5000
Cd 0.0000 0.5000 0.0000
Na 0.0000 0.0000 0.0000


# 13
DFT (PBE) results for a relaxed NaCdI crystal.

Computed properties:
The value obtained for the uncorrected formation energy is -0.60 eV per atom. The density of states at the Fermi level is 0.02 states/eV per cell. The value obtained for the energy above the most stable polymorph in this dataset is 0.076 eV/atom. As for the crystal system: monoclinic.

a = 5.7913 Å, b = 5.5024 Å, c = 7.5950 Å
α = 90.00°, β = 112.33°, γ = 90.00°
Sites, in units of the cell vectors:
Cd 0.4503 0.2500 0.4073
Na 0.2604 0.7500 0.0217
I 0.1528 0.2500 0.8043
I 0.8472 0.7500 0.1957
Na 0.7396 0.2500 0.9783
Cd 0.5497 0.7500 0.5927


# 14
DFT (PBE) results for a relaxed NaCdI crystal.

Computed properties:
The value obtained for the uncorrected formation energy is -0.61 eV per atom. The density of states at the Fermi level is 0.04 states/eV per cell. The value obtained for the energy above the most stable polymorph in this dataset is 0.071 eV/atom. As for the crystal system: orthorhombic.

a = 4.6802 Å, b = 15.2054 Å, c = 6.2081 Å
α = 90.00°, β = 90.00°, γ = 90.00°
Sites, in units of the cell vectors:
Na 0.0000 0.8068 0.1723
I 0.0000 0.1665 0.1722
I 0.5000 0.3335 0.6722
Cd 0.5000 0.9853 0.1692
I 0.0000 0.8335 0.6722
Cd 0.0000 0.5147 0.6692
Na 0.0000 0.1932 0.6723
Na 0.5000 0.3068 0.1723
Cd 0.5000 0.0147 0.6692
Cd 0.0000 0.4853 0.1692
I 0.5000 0.6665 0.1722
Na 0.5000 0.6932 0.6723


# 15
DFT (PBE) results for a relaxed Na2CdI4 crystal.

Computed properties:
The value obtained for the uncorrected formation energy is -0.96 eV per atom. The density of states at the Fermi level is 0.00 states/eV per cell. The value obtained for the energy above the most stable polymorph in this dataset is 0.000 eV/atom. As for the crystal system: monoclinic.

a = 9.1940 Å, b = 9.1968 Å, c = 15.9537 Å
α = 106.81°, β = 90.00°, γ = 119.99°
Sites, in units of the cell vectors:
I 0.3741 0.2488 0.6227
I 0.8748 0.2488 0.1227
I 0.1275 0.2477 0.3757
Na 0.0000 0.5000 0.0000
Na 0.7489 0.0000 0.7500
Na 0.5000 0.0000 0.0000
I 0.8727 0.2457 0.6244
I 0.1273 0.7543 0.3756
Na 0.2511 0.0000 0.2500
Cd 0.5636 0.6256 0.1877
Na 0.5000 0.0000 0.5000
I 0.1252 0.7512 0.8773
I 0.3732 0.7514 0.1240
I 0.6270 0.7543 0.8756
Cd 0.0620 0.6256 0.6877
Na 0.0000 0.0000 0.0000
Na 0.0000 0.0000 0.5000
I 0.3782 0.7514 0.6240
Cd 0.4364 0.3744 0.8123
I 0.3730 0.2457 0.1244
I 0.6259 0.7512 0.3773
I 0.8725 0.7523 0.6243
I 0.6268 0.2486 0.8760
I 0.6218 0.2486 0.3760
Cd 0.9380 0.3744 0.3123
I 0.1203 0.2477 0.8757
I 0.8797 0.7523 0.1243
Na 0.5000 0.5000 0.5000


# 16
DFT (PBE) results for a relaxed NaCd2I5 crystal.

Computed properties:
The value obtained for the uncorrected formation energy is -0.63 eV per atom. As for the crystal system: monoclinic.

a = 7.5642 Å, b = 8.1689 Å, c = 8.3912 Å
α = 60.87°, β = 63.03°, γ = 90.00°
Sites, in units of the cell vectors:
Cd 0.9365 0.3800 0.2399
Cd 0.5275 0.9767 0.0465
I 0.2964 0.7440 0.9858
I 0.2964 0.2701 0.9858
I 0.6296 0.6031 0.2961
Na 0.9866 0.9713 0.0573
I 0.9203 0.1768 0.6463
I 0.6296 0.1008 0.2961


# 17
DFT (PBE) results for a relaxed NaCdI2 crystal.

Computed properties:
The value obtained for the uncorrected formation energy is -0.52 eV per atom. The density of states at the Fermi level is 3.36 states/eV per cell. The value obtained for the energy above the most stable polymorph in this dataset is 0.000 eV/atom. As for the crystal system: cubic.

a = 5.7141 Å, b = 5.7141 Å, c = 5.7141 Å
α = 60.00°, β = 60.00°, γ = 60.00°
Sites, in units of the cell vectors:
I 0.7500 0.7500 0.7500
Na 0.0000 0.0000 0.0000
I 0.2500 0.2500 0.2500
Cd 0.5000 0.5000 0.5000


# 18
DFT (PBE) results for a relaxed NaCdI crystal.

Computed properties:
The value obtained for the uncorrected formation energy is -0.68 eV per atom. The density of states at the Fermi level is 1.36 states/eV per cell. The value obtained for the energy above the most stable polymorph in this dataset is 0.002 eV/atom. As for the crystal system: monoclinic.

a = 4.4028 Å, b = 10.4409 Å, c = 4.3993 Å
α = 90.00°, β = 90.02°, γ = 90.00°
Sites, in units of the cell vectors:
Na 0.1728 0.1491 0.0308
Cd 0.5347 0.5012 0.0340
Na 0.6728 0.8509 0.5308
Cd 0.0347 0.4988 0.5340
I 0.6735 0.1643 0.5309
I 0.1735 0.8357 0.0309


# 19
DFT (PBE) results for a relaxed Na3CdI4 crystal.

Computed properties:
The value obtained for the uncorrected formation energy is -0.98 eV per atom. The density of states at the Fermi level is 3.69 states/eV per cell. As for the crystal system: orthorhombic.

a = 6.4735 Å, b = 6.4811 Å, c = 13.3716 Å
α = 90.00°, β = 90.00°, γ = 90.00°
Sites, in units of the cell vectors:
I 0.5643 0.2504 0.0000
Na 0.5644 0.2498 0.7499
Na 0.0644 0.7502 0.2499
Na 0.5644 0.7502 0.0000
Cd 0.0642 0.2511 0.0000
Na 0.0644 0.7502 0.7501
I 0.5646 0.7499 0.7583
I 0.0643 0.7496 0.5000
I 0.0646 0.2501 0.2583
I 0.0644 0.7510 0.0000
I 0.5646 0.7499 0.2417
I 0.5644 0.2490 0.5000
Na 0.0644 0.2498 0.5000
Cd 0.5642 0.7489 0.5000
Na 0.5644 0.2498 0.2501
I 0.0646 0.2501 0.7417


# 20
DFT (PBE) results for a relaxed NaCdI crystal.

Computed properties:
The value obtained for the uncorrected formation energy is -0.68 eV per atom. The density of states at the Fermi level is 1.60 states/eV per cell. The value obtained for the energy above the most stable polymorph in this dataset is 0.000 eV/atom. As for the crystal system: triclinic.

a = 4.4253 Å, b = 4.4221 Å, c = 10.4462 Å
α = 89.88°, β = 89.96°, γ = 90.00°
Sites, in units of the cell vectors:
Cd 0.4627 0.5025 0.3714
I 0.9591 0.9909 0.0321
Na 0.4594 0.4908 0.0222
Cd 0.9626 0.0023 0.3679
I 0.4590 0.4933 0.7073
Na 0.9592 0.9930 0.7177